1.
The following is a DFT calculation (GGA-PBE) of FeCoTe4 after structural relaxation.

```
FeCoTe4
1.0
0.0000 4.4087 4.4087
4.4087 0.0000 4.4087
4.4087 4.4087 0.0000
Te Co Fe
4 1 1
Cartesian
3.3085 5.5089 5.5089 Te
5.5089 5.5089 3.3085 Te
5.5089 3.3085 5.5089 Te
3.3085 3.3085 3.3085 Te
6.6131 6.6131 6.6131 Co
0.0000 0.0000 0.0000 Fe
```

Calculated values
As for the space group: No. 216. The density of states at the Fermi level is 1.48 states/eV per atom. For the formation energy from raw total energies, the calculation gives 1.29 eV per atom.

---

2.
The following is a DFT calculation (GGA-PBE) of FeCoTe2 after structural relaxation.

```
FeCoTe2
1.0
5.9057 0.0399 0.0000
3.4350 4.8041 0.0000
-4.6704 -2.4220 2.6834
Te Co Fe
2 1 1
Cartesian
1.7175 2.4021 1.3417 Te
0.0000 0.0000 0.0000 Te
4.6704 2.4220 0.0000 Co
2.9529 0.0199 1.3417 Fe
```

Calculated values
As for the space group: No. 119. The density of states at the Fermi level is 1.38 states/eV per atom. For the formation energy from raw total energies, the calculation gives 0.59 eV per atom.

---

3.
The following is a DFT calculation (GGA-PBE) of FeCoTe2 after structural relaxation.

```
FeCoTe2
1.0
-0.2456 2.8509 -2.5072
-3.4880 -1.1618 -0.9795
-2.4823 3.7011 4.4495
Te Co Fe
2 1 1
Cartesian
-2.2174 3.6165 3.6066 Te
-2.8136 2.5671 -0.4148 Te
-1.7049 4.0950 1.2138 Co
-3.3261 2.0886 1.9778 Fe
```

Calculated values
As for the space group: No. 115. The density of states at the Fermi level is 0.59 states/eV per atom. For the formation energy from raw total energies, the calculation gives -0.06 eV per atom.

---

4.
The following is a DFT calculation (GGA-PBE) of FeCoTe2 after structural relaxation.

```
FeCoTe2
1.0
4.3373 0.0000 0.0000
0.0000 4.4073 0.0200
0.0000 1.3924 4.1801
Te Fe Co
2 1 1
Cartesian
0.0000 5.3119 3.8473 Te
2.1686 1.9464 1.4093 Te
2.1686 4.0739 2.9494 Fe
0.0000 3.1673 2.2944 Co
```

Calculated values
As for the space group: No. 38. The density of states at the Fermi level is 0.86 states/eV per atom. For the formation energy from raw total energies, the calculation gives 0.11 eV per atom.

---

5.
The following is a DFT calculation (GGA-PBE) of Fe2CoTe after structural relaxation.

```
Fe2CoTe
1.0
3.3559 0.0000 0.0000
0.0000 3.3559 0.0000
0.0000 0.0000 5.1616
Fe Co Te
2 1 1
Cartesian
0.0000 0.0000 5.0407 Fe
0.0000 0.0000 2.7016 Fe
1.6780 1.6780 3.8712 Co
1.6780 1.6780 1.2904 Te
```

Calculated values
As for the space group: No. 123. The density of states at the Fermi level is 1.19 states/eV per atom. For the formation energy from raw total energies, the calculation gives 0.35 eV per atom.

---

6.
The following is a DFT calculation (GGA-PBE) of FeCo2Te after structural relaxation.

```
FeCo2Te
1.0
7.7056 0.0191 0.0113
7.1009 2.9921 0.0113
7.1009 1.4441 2.6206
Co Te Fe
2 1 1
Cartesian
21.7580 4.4250 2.6252 Co
11.1032 2.2581 1.3397 Co
16.4306 3.3415 1.9825 Te
5.4769 1.1138 0.6608 Fe
```

Calculated values
As for the space group: No. 166. The density of states at the Fermi level is 0.83 states/eV per atom. For the formation energy from raw total energies, the calculation gives 0.47 eV per atom.